# LiRe2Ir

A geometry-optimized LiRe2Ir structure (PBE-GGA, the Alexandria database).

Calculated values
Final energy, eV/atom: -8.83
Energy of formation from the pure elements, eV per atom: 0.084
Symmetry: C2/m
Total magnetic moment, μB/f.u.: 0.000

Lattice parameters (Å, degrees): 4.8677 4.8677 4.5845 80.61 80.61 32.59
Fractional positions:
Li (0.2500, 0.2500, 0.2500)
Re (0.4858, 0.4858, 0.5058)
Re (0.0142, 0.0142, 0.9942)
Ir (0.7500, 0.7500, 0.7500)

=====

# Mg5HgRh6

A geometry-optimized Mg5HgRh6 structure (PBE-GGA, the Alexandria database).

Calculated values
Final energy, eV/atom: -4.73
Energy of formation from the pure elements, eV per atom: -0.367
Symmetry: Immm
Total magnetic moment, μB/f.u.: 0.000

Lattice parameters (Å, degrees): 4.4402 6.3206 7.7007 114.23 106.80 90.00
Fractional positions:
Mg (0.0000, 0.5000, 0.0000)
Mg (0.3303, 0.3299, 0.6603)
Rh (0.5000, 0.2651, 0.0001)
Mg (0.6697, 0.6701, 0.3397)
Rh (0.8313, 0.0881, 0.6621)
Rh (0.1687, 0.9119, 0.3379)
Rh (0.5000, 0.7349, 0.9999)
Rh (0.8313, 0.5740, 0.6620)
Mg (0.6628, 0.1627, 0.3258)
Rh (0.1687, 0.4260, 0.3380)
Mg (0.3372, 0.8373, 0.6742)
Hg (0.0000, 0.0000, 0.0000)

=====

# TbHoSi3

A geometry-optimized TbHoSi3 structure (PBE-GGA, the Alexandria database).

Calculated values
Final energy, eV/atom: -5.78
Symmetry: Cmcm
Total magnetic moment, μB/f.u.: 0.000
Uncorrected formation energy, eV/atom: -0.6819

Lattice parameters (Å, degrees): 3.9400 4.1296 12.4270 99.56 90.00 90.00
Fractional positions:
Ho (0.7500, 0.2029, 0.4058)
Tb (0.7500, 0.9301, 0.8603)
Tb (0.2500, 0.0699, 0.1397)
Si (0.2500, 0.6781, 0.3562)
Si (0.7500, 0.3219, 0.6438)
Si (0.7500, 0.5250, 0.0500)
Si (0.2500, 0.3804, 0.7608)
Si (0.7500, 0.6196, 0.2392)
Si (0.2500, 0.4750, 0.9500)
Ho (0.2500, 0.7971, 0.5942)

=====

# BeMo3

A geometry-optimized BeMo3 structure (PBE-GGA, the Alexandria database).

Calculated values
Final energy, eV/atom: -7.29
Energy of formation from the pure elements, eV per atom: 1.769
Symmetry: Pm-3m
Energy above the lowest structure with this stoichiometry, meV per atom: 1783
Total magnetic moment, μB/f.u.: 0.000

Lattice parameters (Å, degrees): 4.2134 4.2134 4.2134 90.00 90.00 90.00
Fractional positions:
Mo (0.5000, 0.0000, 0.0000)
Be (0.0000, 0.0000, 0.0000)
Mo (0.0000, 0.0000, 0.5000)
Mo (0.0000, 0.5000, 0.0000)

=====

# Tb2PrErTm5

A geometry-optimized Tb2PrErTm5 structure (PBE-GGA, the Alexandria database).

Calculated values
Final energy, eV/atom: -4.27
Energy of formation from the pure elements, eV per atom: 0.284
Symmetry: I4/mcm
Total magnetic moment, μB/f.u.: 0.000

Lattice parameters (Å, degrees): 8.8586 8.8586 9.6245 117.40 117.40 90.00
Fractional positions:
Er (0.2500, 0.7500, 0.5000)
Tm (0.3386, 0.8386, 0.2650)
Tm (0.6614, 0.1614, 0.7350)
Tb (0.6131, 0.1131, 0.0000)
Tm (0.0735, 0.5735, 0.7350)
Tb (0.8869, 0.6131, 0.0000)
Er (0.7500, 0.2500, 0.5000)
Tb (0.3869, 0.8869, 0.0000)
Tm (0.0000, 0.0000, 0.0000)
Tb (0.1131, 0.3869, 0.0000)
Tm (0.5000, 0.5000, 0.0000)
Pr (0.2500, 0.2500, 0.5000)
Tm (0.5735, 0.6614, 0.7350)
Tm (0.4265, 0.3386, 0.2650)
Tm (0.8386, 0.9265, 0.2650)
Tm (0.9265, 0.4265, 0.2650)
Pr (0.7500, 0.7500, 0.5000)
Tm (0.1614, 0.0735, 0.7350)

=====

# Cs2PaAs3O12

A geometry-optimized Cs2PaAs3O12 structure (PBE-GGA, the Alexandria database).

Calculated values
Final energy, eV/atom: -6.32
Symmetry: R-3m
Total magnetic moment, μB/f.u.: 1.871
Uncorrected formation energy, eV/atom: -1.6153

Lattice parameters (Å, degrees): 7.4665 7.4665 7.4665 56.01 56.01 56.01
Each line ends with the local moment (μB).
Fractional positions:
As (0.0000, 0.0000, 0.5000)  -0.01
As (0.0000, 0.5000, 0.0000)  -0.01
Cs (0.6174, 0.6174, 0.6174)  0.00
O (0.6840, 0.6840, 0.0798)  0.17
Cs (0.3826, 0.3826, 0.3826)  0.00
O (0.0687, 0.0687, 0.6506)  0.09
As (0.5000, 0.0000, 0.0000)  -0.01
Pa (0.0000, 0.0000, 0.0000)  0.02
O (0.3494, 0.9313, 0.9313)  0.09
O (0.9313, 0.9313, 0.3494)  0.09
O (0.9313, 0.3494, 0.9313)  0.09
O (0.0798, 0.6840, 0.6840)  0.17
O (0.3160, 0.3160, 0.9202)  0.17
O (0.9202, 0.3160, 0.3160)  0.17
O (0.3160, 0.9202, 0.3160)  0.17
O (0.6506, 0.0687, 0.0687)  0.09
O (0.0687, 0.6506, 0.0687)  0.09
O (0.6840, 0.0798, 0.6840)  0.17

=====

Q: What is the formula in the fourth record?
A: BeMo3